Compound: Sr3Ag2Hg7
Source: Alexandria
Functional: GGA-PBE
Structure: optimized geometry

## Properties
The formation energy from the elements is -0.337 eV/atom.

a b c (Å): 4.806 4.636 15.484
angles (deg): 90.00 98.78 90.00
Space group P2/m (No. 10)
Symmetry-distinct sites (fractional):
Sr1 0.000 0.000 0.000
Sr2 0.328 0.500 0.649
Ag1 0.128 0.000 0.270
Hg1 0.075 0.500 0.160
Hg2 0.225 0.000 0.449
Hg3 0.424 0.000 0.840
Hg4 0.500 0.500 0.000

=====

Compound: Pm15YTm4
Source: Alexandria
Functional: GGA-PBE
Structure: optimized geometry

## Properties
The formation energy from the elements is 0.012 eV/atom.

a b c (Å): 5.116 5.116 25.483
angles (deg): 90.00 90.00 90.00
Space group P4/mmm (No. 123)
Symmetry-distinct sites (fractional):
Pm1 0.000 0.000 0.000
Pm2 0.000 0.000 0.201
Pm3 0.000 0.000 0.400
Pm4 0.000 0.500 0.101
Pm5 0.000 0.500 0.300
Pm6 0.000 0.500 0.500
Y1 0.500 0.500 0.000
Tm1 0.500 0.500 0.201
Tm2 0.500 0.500 0.400

=====

Values for E, eV for the cell shown, ordered as above
-16.9, -95.4